# 1
# Sr2GaCuRu

An optimized crystal structure of Sr2GaCuRu (PBE-GGA, the Alexandria database).

Lattice parameters (Å, degrees): 5.595 5.595 4.306 90.00 90.00 90.00
Sites, in units of the cell vectors:
Sr 0.000 0.500 0.000
Sr 0.500 0.000 0.000
Ga 0.000 0.000 0.000
Cu 0.000 0.000 0.500
Ru 0.500 0.500 0.500

Computed properties:
- Total DFT energy (no corrections): -15.82 eV per cell
- ΔH_f (0 K): 0.79 eV/atom
- Calculated density: 5.04 g/cm³



# 2
# BaLaAg4

An optimized crystal structure of BaLaAg4 (PBE-GGA, the Alexandria database).

Lattice parameters (Å, degrees): 3.956 4.944 8.445 90.00 90.00 90.00
Sites, in units of the cell vectors:
Ba 0.000 0.000 0.000
La 0.000 0.500 0.500
Ag 0.500 0.000 0.338
Ag 0.500 0.000 0.662
Ag 0.500 0.500 0.176
Ag 0.500 0.500 0.824

Computed properties:
- Total DFT energy (no corrections): -19.74 eV per cell
- ΔH_f (0 K): -0.25 eV/atom
- Energy above the lowest structure with this stoichiometry: 0.00 eV per formula unit
- Calculated density: 7.11 g/cm³



# 3
# Sc3CdSi

An optimized crystal structure of Sc3CdSi (PBE-GGA, the Alexandria database).

Lattice parameters (Å, degrees): 5.169 5.169 5.169 90.00 90.00 90.00
Sites, in units of the cell vectors:
Sc 0.000 0.000 0.500
Sc 0.000 0.500 0.000
Sc 0.500 0.000 0.000
Cd 0.000 0.000 0.000
Si 0.500 0.500 0.500

Computed properties:
- Total DFT energy (no corrections): -22.36 eV per cell
- Energy above the lowest structure with this stoichiometry: 3.59 eV per formula unit
- Calculated density: 3.31 g/cm³
- Raw formation energy: 287 kJ/mol of formula units



Number 2 is which compound?
BaLaAg4



The lowest total DFT energy (no corrections) belongs to which entry?
Sc3CdSi



Among the records above, which one has the highest total DFT energy (no corrections)?
Sr2GaCuRu



Repeat the first record exactly.
# Sr2GaCuRu

An optimized crystal structure of Sr2GaCuRu (PBE-GGA, the Alexandria database).

Lattice parameters (Å, degrees): 5.595 5.595 4.306 90.00 90.00 90.00
Sites, in units of the cell vectors:
Sr 0.000 0.500 0.000
Sr 0.500 0.000 0.000
Ga 0.000 0.000 0.000
Cu 0.000 0.000 0.500
Ru 0.500 0.500 0.500

Computed properties:
- Total DFT energy (no corrections): -15.82 eV per cell
- ΔH_f (0 K): 0.79 eV/atom
- Calculated density: 5.04 g/cm³